The following is a DFT calculation (PBE with a Hubbard U) of NiSnF6 after structural relaxation.

a = 5.2034 Å, b = 5.2034 Å, c = 13.9957 Å
α = 90.00°, β = 90.00°, γ = 120.00°
Space group R-3 (No. 148, hexagonal axes)
One atom of each set of equivalent atoms:
1 Ni 0.0000 0.0000 0.0000 [3 per cell]
2 Sn 0.0000 0.0000 0.5000 [3 per cell]
3 F 0.0015 0.3739 0.2493 [18 per cell]

Output
Total moment in μB per formula unit: 2.0
DOS at the Fermi energy in states/eV/cell: 0.00
VASP energy in eV per atom: -4.5992